[1]
Compound: Tl5Sb10As3S22
Source: Alexandria
Functional: SCAN
Structure: single point on PBEsol structure

Geometry as extended XYZ:
```
40
Lattice="-6.008 3.903 -1.638 -0.898 -3.669 7.706 9.111 14.342 3.342" Properties=species:S:1:pos:R:3 pbc="T T T"
S -5.296 2.143 4.400
S -3.343 6.765 2.968
S 5.201 14.632 2.870
S -0.813 4.655 4.608
S -0.612 6.503 0.415
S 7.651 12.371 4.953
S 6.196 8.189 9.400
S -2.407 1.688 2.480
S -2.839 -0.295 6.781
S 3.059 9.905 4.793
S 7.180 11.021 8.192
S 0.143 13.191 1.728
S 1.993 1.345 7.726
S -0.144 8.400 3.543
S -5.031 3.602 1.283
S 2.692 8.155 9.031
S 4.632 12.712 6.584
S 5.443 7.934 6.373
S -0.735 6.302 7.865
S 2.357 6.193 5.899
S -4.073 6.198 -0.129
S 2.992 8.293 1.544
Tl 0.898 8.794 6.708
Tl 3.322 13.688 9.152
Tl -0.224 1.052 5.382
Tl 2.340 13.414 4.162
Tl 1.288 5.827 2.713
Sb 3.875 6.303 7.896
Sb -2.701 4.641 1.269
Sb 0.626 4.524 6.823
Sb 1.641 10.088 2.566
Sb -1.699 8.380 1.608
Sb -1.655 1.108 0.069
Sb 4.882 9.954 8.149
Sb 5.540 11.785 3.666
Sb -2.145 6.629 5.152
Sb -3.271 2.888 5.821
As 6.772 13.025 7.011
As -4.676 1.561 2.274
As 4.411 8.159 4.319
```

Summary:
- space-group type = P1
- V (Å³ per cell) = 989.8
- crystal system = triclinic
- formation energy (no corrections) (eV per atom) = -0.29

***

[2]
Compound: ScAsS2
Source: Alexandria
Functional: SCAN
Structure: single point on PBEsol structure

Geometry as extended XYZ:
```
8
Lattice="-4.252 2.177 0.537 -0.810 -2.565 3.984 5.792 5.550 1.850" Properties=species:S:1:pos:R:3 pbc="T T T"
As 0.000 0.000 0.000
As 1.225 1.396 4.047
S -2.551 2.317 2.423
S 1.185 3.936 4.189
S -0.881 -0.027 4.153
S 3.706 4.099 1.977
Sc -2.531 -0.194 2.260
Sc -0.496 3.767 2.324
```

Summary:
- space-group type = I-42d
- V (Å³ per cell) = 173.3
- crystal system = tetragonal
- formation energy (no corrections) (eV per atom) = -0.63
- Fermi-level density of states (states/eV/cell) = 3.2

***

[3]
Compound: Sc2AsS
Source: Alexandria
Functional: SCAN
Structure: single point on PBEsol structure

Geometry as extended XYZ:
```
4
Lattice="-2.514 -2.590 -2.916 -1.115 -4.357 1.140 -4.391 -1.073 1.047" Properties=species:S:1:pos:R:3 pbc="T T T"
As -4.010 -4.010 -0.364
Sc -6.015 -6.015 -0.547
Sc -2.005 -2.005 -0.182
S 0.000 0.000 0.000
```

Summary:
- space-group type = Fm-3m
- V (Å³ per cell) = 70.6
- crystal system = cubic
- formation energy (no corrections) (eV per atom) = -1.30
- Fermi-level density of states (states/eV/cell) = 3.0

***

[4]
Compound: AsSe2S
Source: Alexandria
Functional: SCAN
Structure: single point on PBEsol structure

Geometry as extended XYZ:
```
4
Lattice="3.384 0.000 0.000 1.692 2.931 0.000 1.692 0.977 8.521" Properties=species:S:1:pos:R:3 pbc="T T T"
As 0.000 0.000 0.000
Se 1.692 0.977 5.979
Se 5.076 2.931 2.542
S 3.384 1.954 4.260
```

Summary:
- space-group type = R-3m
- V (Å³ per cell) = 84.5
- crystal system = trigonal
- formation energy (no corrections) (eV per atom) = 0.62
- Fermi-level density of states (states/eV/cell) = 2.3

***

[5]
Compound: SiAsSe2S
Source: Alexandria
Functional: SCAN
Structure: single point on PBEsol structure

Geometry as extended XYZ:
```
5
Lattice="-3.586 -2.676 1.731 2.965 -1.847 3.288 -1.138 3.437 2.957" Properties=species:S:1:pos:R:3 pbc="T T T"
Se -1.793 -1.338 0.865
Se 1.482 -0.924 1.644
As -0.569 1.719 1.479
S 0.000 0.000 0.000
Si -0.879 -0.543 3.988
```

Summary:
- space-group type = P4/mmm
- V (Å³ per cell) = 107.6
- crystal system = tetragonal
- formation energy (no corrections) (eV per atom) = 0.91
- Fermi-level density of states (states/eV/cell) = 3.5

***

[6]
Compound: SrAs2SeS
Source: Alexandria
Functional: SCAN
Structure: single point on PBEsol structure

Geometry as extended XYZ:
```
5
Lattice="5.488 0.000 0.000 0.000 5.622 0.000 0.000 0.000 5.622" Properties=species:S:1:pos:R:3 pbc="T T T"
Sr 0.000 0.000 0.000
As 0.000 2.811 0.000
As 0.000 0.000 2.811
S 2.744 2.811 2.811
Se 2.744 0.000 0.000
```

Summary:
- space-group type = P4/mmm
- V (Å³ per cell) = 173.4
- crystal system = tetragonal
- formation energy (no corrections) (eV per atom) = 1.17
- Fermi-level density of states (states/eV/cell) = 4.8

***

[7]
Compound: TcAsSe2S
Source: Alexandria
Functional: SCAN
Structure: single point on PBEsol structure

Geometry as extended XYZ:
```
5
Lattice="4.732 0.000 0.000 0.000 4.732 0.000 0.000 0.000 4.637" Properties=species:S:1:pos:R:3 pbc="T T T"
Se 0.000 2.366 0.000
Se 2.366 0.000 0.000
Tc 2.366 2.366 2.319
S 0.000 0.000 0.000
As 0.000 0.000 2.319
```

Summary:
- space-group type = P4/mmm
- V (Å³ per cell) = 103.8
- crystal system = tetragonal
- formation energy (no corrections) (eV per atom) = 1.07
- Fermi-level density of states (states/eV/cell) = 3.3

***

[8]
Compound: As2WSeS
Source: Alexandria
Functional: SCAN
Structure: single point on PBEsol structure

Geometry as extended XYZ:
```
5
Lattice="-3.877 1.324 -2.272 -2.422 -3.049 2.357 -0.813 3.125 3.208" Properties=species:S:1:pos:R:3 pbc="T T T"
Se -1.939 0.662 -1.136
As -0.406 1.562 1.604
As -1.211 -1.524 1.178
S 0.000 0.000 0.000
W -3.556 0.700 1.646
```

Summary:
- space-group type = P4/mmm
- V (Å³ per cell) = 97.0
- crystal system = tetragonal
- formation energy (no corrections) (eV per atom) = 1.41
- Fermi-level density of states (states/eV/cell) = 2.0

***

[9]
Compound: SiSn2AsS
Source: Alexandria
Functional: SCAN
Structure: single point on PBEsol structure

Geometry as extended XYZ:
```
5
Lattice="4.457 0.000 0.000 0.000 5.285 0.000 0.000 0.000 5.285" Properties=species:S:1:pos:R:3 pbc="T T T"
As 2.229 0.000 0.000
S 2.229 2.642 2.642
Sn 0.000 0.000 2.642
Sn 0.000 2.642 0.000
Si 0.000 0.000 0.000
```

Summary:
- space-group type = P4/mmm
- V (Å³ per cell) = 124.5
- crystal system = tetragonal
- formation energy (no corrections) (eV per atom) = 0.64
- Fermi-level density of states (states/eV/cell) = 1.7

***

[10]
Compound: Sn2AsS
Source: Alexandria
Functional: SCAN
Structure: single point on PBEsol structure

Geometry as extended XYZ:
```
4
Lattice="-4.167 0.523 -2.538 -0.149 -1.221 -4.750 -2.512 -3.963 -1.437" Properties=species:S:1:pos:R:3 pbc="T T T"
Sn -5.121 -3.496 -6.544
Sn -1.707 -1.165 -2.181
As -3.414 -2.331 -4.363
S 0.000 0.000 0.000
```

Summary:
- space-group type = Fm-3m
- V (Å³ per cell) = 83.5
- crystal system = cubic
- formation energy (no corrections) (eV per atom) = 0.18
- Fermi-level density of states (states/eV/cell) = 2.0

***

[11]
Compound: SnAsS2
Source: Alexandria
Functional: SCAN
Structure: single point on PBEsol structure

Geometry as extended XYZ:
```
4
Lattice="4.710 0.000 0.000 2.355 4.079 0.000 2.355 1.360 3.846" Properties=species:S:1:pos:R:3 pbc="T T T"
As 0.000 0.000 0.000
S 2.355 1.360 0.961
S 7.065 4.079 2.884
Sn 4.710 2.719 1.923
```

Summary:
- space-group type = Fm-3m
- V (Å³ per cell) = 73.9
- crystal system = cubic
- formation energy (no corrections) (eV per atom) = 0.30
- Fermi-level density of states (states/eV/cell) = 1.2

***

[12]
Compound: SnAsW2S
Source: Alexandria
Functional: SCAN
Structure: single point on PBEsol structure

Geometry as extended XYZ:
```
5
Lattice="-2.328 -3.811 1.953 4.171 -1.282 2.470 -1.417 2.851 3.874" Properties=species:S:1:pos:R:3 pbc="T T T"
W 2.086 -0.641 1.235
W -0.709 1.426 1.937
S 0.213 -1.121 4.148
As -1.164 -1.906 0.977
Sn 0.000 0.000 0.000
```

Summary:
- space-group type = P4/mmm
- V (Å³ per cell) = 122.6
- crystal system = tetragonal
- formation energy (no corrections) (eV per atom) = 2.76
- Fermi-level density of states (states/eV/cell) = 4.3